Compound: In7Sn6
Source: Alexandria
Functional: PBE
Structure: optimized geometry

Cell: 6.1805 6.1804 11.5778 Å, 74.52 74.52 60.00°
Element x y z (fractional)
In (0.5886, 0.0839, 0.7389)
In (0.4114, 0.9161, 0.2611)
Sn (0.6664, 0.6664, 0.0008)
Sn (0.0473, 0.0473, 0.8582)
In (0.9161, 0.4114, 0.2611)
Sn (0.9527, 0.9527, 0.1418)
In (0.5886, 0.5886, 0.7389)
Sn (0.1580, 0.1580, 0.5259)
In (0.4114, 0.4114, 0.2611)
Sn (0.3336, 0.3336, 0.9992)
In (0.0839, 0.5886, 0.7389)
In (0.5000, 0.5000, 0.5000)
Sn (0.8420, 0.8420, 0.4741)

Values from the calculation:
E ... -41.69 eV/cell
Space-group type ... R-3m (166)
Energy of formation from the pure elements ... 0.115 eV per atom


Compound: ZnCo2Te
Source: Alexandria
Functional: PBE
Structure: optimized geometry

Cell: 3.1290 3.1290 7.0399 Å, 90.00 90.00 90.00°
Element x y z (fractional)
Co (0.5000, 0.5000, 0.2141)
Te (0.0000, 0.0000, 0.4045)
Zn (0.5000, 0.5000, 0.8526)
Co (0.0000, 0.0000, 0.0288)

Values from the calculation:
E ... -17.62 eV/cell
Space-group type ... P4mm (99)
Uncorrected formation energy ... 0.252 eV/atom
Distance to the lowest polymorph of the same formula ... 63 meV/atom


Compound: Ca2VP2
Source: Alexandria
Functional: PBE
Structure: optimized geometry

Cell: 6.7445 6.7445 4.3074 Å, 90.00 90.00 90.00°
Element x y z (fractional)
Ca (0.3360, 0.1640, 0.5000)
P (0.8501, 0.6499, 0.0000)
Ca (0.6640, 0.8360, 0.5000)
V (0.0000, 0.0000, 0.0000)
V (0.5000, 0.5000, 0.0000)
P (0.1499, 0.3501, 0.0000)
Ca (0.1640, 0.6640, 0.5000)
Ca (0.8360, 0.3360, 0.5000)
P (0.6499, 0.1499, 0.0000)
P (0.3501, 0.8501, 0.0000)

Values from the calculation:
E ... -54.56 eV/cell
Space-group type ... P4/mbm (127)
Energy of formation from the pure elements ... -0.667 eV per atom


Compound: Tc2MoRh
Source: Alexandria
Functional: PBE
Structure: optimized geometry

Cell: 4.4319 2.7573 4.8145 Å, 89.99 90.00 90.00°
Element x y z (fractional)
Tc (0.5000, 0.3748, 0.2060)
Rh (0.5000, 0.8750, 0.7046)
Tc (0.0000, 0.8751, 0.0480)
Mo (0.0000, 0.3751, 0.5413)

Values from the calculation:
E ... -39.18 eV/cell
Space-group type ... Pmm2 (25)
Energy of formation from the pure elements ... -0.066 eV per atom
Distance to the lowest polymorph of the same formula ... 0 meV/atom


Compound: La4CoHg
Source: Alexandria
Functional: PBE
Structure: optimized geometry

Cell: 6.3197 8.2896 8.4794 Å, 112.87 103.96 105.59°
Element x y z (fractional)
La (0.2221, 0.3051, 0.3749)
Co (0.2372, 0.9872, 0.9744)
La (0.3473, 0.9302, 0.6251)
La (0.0357, 0.1929, 0.8695)
Hg (0.6304, 0.3804, 0.7607)
La (0.9643, 0.8071, 0.1305)
La (0.6527, 0.0698, 0.3749)
Hg (0.3696, 0.6196, 0.2393)
La (0.3339, 0.6766, 0.8695)
La (0.6661, 0.3234, 0.1305)
Co (0.7628, 0.0128, 0.0256)
La (0.7779, 0.6949, 0.6251)

Values from the calculation:
E ... -56.79 eV/cell
Space-group type ... C2/c (15)
Energy of formation from the pure elements ... -0.213 eV per atom
Distance to the lowest polymorph of the same formula ... 16 meV/atom


Compound: BaLi2Pb9
Source: Alexandria
Functional: PBE
Structure: optimized geometry

Cell: 8.7593 10.2676 10.2676 Å, 79.52 64.75 64.75°
Element x y z (fractional)
Ba (0.2500, 0.5000, 0.5000)
Li (0.8750, 0.2500, 0.2500)
Pb (0.6861, 0.1770, 0.5742)
Ba (0.5000, 0.0000, 0.0000)
Pb (0.6131, 0.0742, 0.3230)
Pb (0.0639, 0.3230, 0.9258)
Pb (0.0103, 0.9258, 0.6770)
Pb (0.7397, 0.5742, 0.8230)
Li (0.8750, 0.2500, 0.7500)
Pb (0.0103, 0.6770, 0.9258)
Pb (0.0639, 0.9258, 0.3230)
Pb (0.4373, 0.8230, 0.4258)
Pb (0.1369, 0.1770, 0.4258)
Pb (0.6131, 0.3230, 0.0742)
Pb (0.6861, 0.5742, 0.1770)
Pb (0.3127, 0.0742, 0.6770)
Pb (0.0000, 0.0000, 0.0000)
Li (0.8750, 0.7500, 0.2500)
Pb (0.1369, 0.4258, 0.1770)
Pb (0.7500, 0.5000, 0.5000)
Li (0.3750, 0.7500, 0.7500)
Pb (0.7397, 0.8230, 0.5742)
Pb (0.3127, 0.6770, 0.0742)
Pb (0.4373, 0.4258, 0.8230)

Values from the calculation:
E ... -82.60 eV/cell
Space-group type ... I4_1/amd (141)
Energy of formation from the pure elements ... -0.181 eV per atom


Compound: Zn2Cd2Au
Source: Alexandria
Functional: PBE
Structure: optimized geometry

Cell: 5.2610 5.2610 7.5776 Å, 90.00 90.00 100.04°
Element x y z (fractional)
Zn (0.3385, 0.3385, 0.0920)
Zn (0.6615, 0.6615, 0.5920)
Au (0.7191, 0.7191, 0.2500)
Zn (0.3385, 0.3385, 0.4080)
Cd (0.1879, 0.8121, 0.5000)
Cd (0.1879, 0.8121, 0.0000)
Cd (0.8121, 0.1879, 0.0000)
Au (0.2809, 0.2809, 0.7500)
Zn (0.6615, 0.6615, 0.9080)
Cd (0.8121, 0.1879, 0.5000)

Values from the calculation:
E ... -14.85 eV/cell
Space-group type ... Cmcm (63)
Energy of formation from the pure elements ... 0.046 eV per atom
Distance to the lowest polymorph of the same formula ... 56 meV/atom


Compound: Pu6Ga
Source: Alexandria
Functional: PBE
Structure: optimized geometry

Cell: 5.7865 5.7865 5.7865 Å, 109.47 109.47 109.47°
Element x y z (fractional)
Pu (0.7500, 0.2500, 0.5000)
Ga (0.0000, 0.0000, 0.0000)
Pu (0.2500, 0.5000, 0.7500)
Pu (0.7500, 0.5000, 0.2500)
Pu (0.5000, 0.2500, 0.7500)
Pu (0.2500, 0.7500, 0.5000)
Pu (0.5000, 0.7500, 0.2500)

Values from the calculation:
E ... -86.17 eV/cell
Space-group type ... Im-3m (229)
Energy of formation from the pure elements ... 0.407 eV per atom


Compound: Ta5TcMo2
Source: Alexandria
Functional: PBE
Structure: optimized geometry

Cell: 4.6153 5.5126 10.8323 Å, 90.00 90.00 90.00°
Element x y z (fractional)
Ta (0.5000, 0.8371, 0.3849)
Ta (0.0000, 0.0000, 0.0000)
Ta (0.0000, 0.8521, 0.7408)
Mo (0.5000, 0.1650, 0.8752)
Ta (0.0000, 0.1479, 0.2592)
Ta (0.0000, 0.5000, 0.5000)
Ta (0.5000, 0.3371, 0.1151)
Tc (0.0000, 0.0000, 0.5000)
Mo (0.5000, 0.8350, 0.1248)
Ta (0.0000, 0.6479, 0.2408)
Tc (0.0000, 0.5000, 0.0000)
Ta (0.0000, 0.3521, 0.7592)
Mo (0.5000, 0.6650, 0.6248)
Ta (0.5000, 0.1629, 0.6151)
Ta (0.5000, 0.6629, 0.8849)
Mo (0.5000, 0.3350, 0.3752)

Values from the calculation:
E ... -184.62 eV/cell
Space-group type ... Pbam (55)
Energy of formation from the pure elements ... -0.127 eV per atom


Compound: CrCoH2
Source: Alexandria
Functional: PBE
Structure: optimized geometry

Cell: 2.6207 2.6207 4.5723 Å, 73.35 73.35 60.00°
Element x y z (fractional)
Cr (0.5000, 0.5000, 0.5000)
H (0.2529, 0.2529, 0.2412)
H (0.7471, 0.7471, 0.7588)
Co (0.0000, 0.0000, 0.0000)

Values from the calculation:
E ... -23.48 eV/cell
Space-group type ... R-3m (166)
Distance to the lowest polymorph of the same formula ... 0 meV/atom


Compound: PdPb2I
Source: Alexandria
Functional: PBE
Structure: optimized geometry

Cell: 4.0781 4.0781 8.6953 Å, 76.44 76.44 60.00°
Element x y z (fractional)
Pb (0.0655, 0.0655, 0.8036)
I (0.4976, 0.4976, 0.5072)
Pb (0.2696, 0.2696, 0.1911)
Pd (0.6673, 0.6673, 0.9982)

Values from the calculation:
E ... -14.94 eV/cell
Space-group type ... R3m (160)
Uncorrected formation energy ... -0.195 eV/atom
Distance to the lowest polymorph of the same formula ... 0 meV/atom


What is the formula in the seventh record?
Zn2Cd2Au


E of number 1 (In7Sn6)?
-41.69 eV/cell